# Pm3Y | the Alexandria database | PBE | optimized geometry
data_Pm3Y
_cell_length_a 7.3663
_cell_length_b 7.3663
_cell_length_c 5.8353
_cell_angle_alpha 90.00
_cell_angle_beta 90.00
_cell_angle_gamma 120.00
_space_group_name_H-M_alt 'P 63/m m c'
_space_group_IT_number 194
_space_group_name_Hall '-P 6c 2c'
loop_
_atom_site_label
_atom_site_type_symbol
_atom_site_fract_x
_atom_site_fract_y
_atom_site_fract_z
Pm1 Pm 0.1668 0.3336 0.2500
Y1 Y 0.3333 0.6667 0.7500
# Calculated volume = 34.28 Å³ per atom
# Formation energy = 0.0209 eV per atom
# Total energy = -5.16 eV/atom
# Energy relative to the lowest polymorph listed for this composition = 8 meV/atom
# N(E_F) = 7.1 states/eV/f.u.

***

# ZrTlHg2 | the Alexandria database | PBE | optimized geometry
data_ZrTlHg2
_cell_length_a 3.3047
_cell_length_b 3.3047
_cell_length_c 31.0289
_cell_angle_alpha 90.00
_cell_angle_beta 90.00
_cell_angle_gamma 120.00
_space_group_name_H-M_alt 'R 3 m'
_space_group_IT_number 160
_space_group_name_Hall 'R 3 -2"'
loop_
_atom_site_label
_atom_site_type_symbol
_atom_site_fract_x
_atom_site_fract_y
_atom_site_fract_z
Zr1 Zr 0.0000 0.0000 0.0000
Tl1 Tl 0.0000 0.0000 0.7495
Hg1 Hg 0.0000 0.0000 0.2552
Hg2 Hg 0.0000 0.0000 0.5041
# Calculated volume = 24.46 Å³ per atom
# Formation energy = 0.0886 eV per atom
# Total energy = -2.79 eV/atom
# N(E_F) = 4.1 states/eV/f.u.

***

# YHo4Er3 | the Alexandria database | PBE | optimized geometry
data_YHo4Er3
_cell_length_a 3.5274
_cell_length_b 7.0394
_cell_length_c 9.9624
_cell_angle_alpha 90.00
_cell_angle_beta 90.00
_cell_angle_gamma 90.00
_space_group_name_H-M_alt 'P m m m'
_space_group_IT_number 47
loop_
_space_group_symop_operation_xyz
'x,y,z'
'-x,-y,-z'
'-x,-y,z'
'x,y,-z'
'x,-y,-z'
'-x,y,z'
'-x,y,-z'
'x,-y,z'
loop_
_atom_site_label
_atom_site_type_symbol
_atom_site_fract_x
_atom_site_fract_y
_atom_site_fract_z
Y1 Y 0.0000 0.0000 0.0000
Ho1 Ho 0.5000 0.2509 0.2514
Er1 Er 0.0000 0.0000 0.5000
Er2 Er 0.0000 0.5000 0.0000
Er3 Er 0.0000 0.5000 0.5000
# Calculated volume = 30.92 Å³ per atom
# Formation energy = 0.0238 eV per atom
# Total energy = -4.78 eV/atom
# Energy relative to the lowest polymorph listed for this composition = 23 meV/atom
# N(E_F) = 11.8 states/eV/f.u.

***

# NbIrO2F | the Alexandria database | PBE | optimized geometry
data_NbIrO2F
_cell_length_a 4.0148
_cell_length_b 4.0148
_cell_length_c 4.1498
_cell_angle_alpha 90.00
_cell_angle_beta 90.00
_cell_angle_gamma 90.00
_space_group_name_H-M_alt 'P 4/m m m'
_space_group_IT_number 123
_space_group_name_Hall '-P 4 2'
loop_
_atom_site_label
_atom_site_type_symbol
_atom_site_fract_x
_atom_site_fract_y
_atom_site_fract_z
Nb1 Nb 0.0000 0.0000 0.0000
Ir1 Ir 0.5000 0.5000 0.5000
O1 O 0.0000 0.5000 0.0000
F1 F 0.0000 0.0000 0.5000
# Calculated volume = 13.38 Å³ per atom
# Raw formation energy = -366 kJ/mol of formula units
# Total energy = -6.90 eV/atom
# N(E_F) = 5.0 states/eV/f.u.

***

# Pr6Sm2Sc | the Alexandria database | PBE | optimized geometry
data_Pr6Sm2Sc
_cell_length_a 16.5913
_cell_length_b 11.9036
_cell_length_c 6.2683
_cell_angle_alpha 90.00
_cell_angle_beta 96.89
_cell_angle_gamma 90.00
_space_group_name_H-M_alt 'C 1 2/c 1'
_space_group_IT_number 15
loop_
_space_group_symop_operation_xyz
'x,y,z'
'-x,-y,-z'
'-x,y,-z+1/2'
'x,-y,z+1/2'
'x+1/2,y+1/2,z'
'-x+1/2,-y+1/2,-z'
'-x+1/2,y+1/2,-z+1/2'
'x+1/2,-y+1/2,z+1/2'
loop_
_atom_site_label
_atom_site_type_symbol
_atom_site_fract_x
_atom_site_fract_y
_atom_site_fract_z
Pr1 Pr 0.0506 0.1394 0.0121
Pr2 Pr 0.1072 0.3657 0.3256
Pr3 Pr 0.2078 0.3645 0.8578
Sm1 Sm 0.1720 0.1072 0.5696
Sc1 Sc 0.0000 0.3905 0.7500
# Calculated volume = 34.14 Å³ per atom
# Formation energy = 0.0887 eV per atom
# Total energy = -4.85 eV/atom
# Energy relative to the lowest polymorph listed for this composition = 0 meV/atom
# N(E_F) = 13.9 states/eV/f.u.

***

# Tb6Nd2Dy3Sc | the Alexandria database | PBE | optimized geometry
data_Tb6Nd2Dy3Sc
_cell_length_a 6.1478
_cell_length_b 10.6420
_cell_length_c 11.7919
_cell_angle_alpha 90.00
_cell_angle_beta 99.96
_cell_angle_gamma 90.00
_space_group_name_H-M_alt 'C 1 2/m 1'
_space_group_IT_number 12
loop_
_space_group_symop_operation_xyz
'x,y,z'
'-x,-y,-z'
'-x,y,-z'
'x,-y,z'
'x+1/2,y+1/2,z'
'-x+1/2,-y+1/2,-z'
'-x+1/2,y+1/2,-z'
'x+1/2,-y+1/2,z'
loop_
_atom_site_label
_atom_site_type_symbol
_atom_site_fract_x
_atom_site_fract_y
_atom_site_fract_z
Tb1 Tb 0.2469 0.0000 0.2491
Tb2 Tb 0.2483 0.1650 0.7505
Nd1 Nd 0.0000 0.3335 0.5000
Dy1 Dy 0.0000 0.1662 0.0000
Dy2 Dy 0.0000 0.5000 0.0000
Sc1 Sc 0.0000 0.0000 0.5000
# Calculated volume = 31.66 Å³ per atom
# Formation energy = 0.0239 eV per atom
# Total energy = -4.76 eV/atom
# N(E_F) = 15.4 states/eV/f.u.